Below is a relaxed La6NdSm2Sc crystal, with properties calculated at the PBE level.

## Properties
Total DFT energy (no corrections) = -48.14 eV/cell
Formation energy = 0.1963 eV per atom
Space-group type = C2/m (12)

Cell: 9.4173 7.4243 6.3028 Å, 126.08 81.83 90.00°
Fractional positions:
Sm: 0.0527 0.1569 0.3138
Sm: 0.9473 0.8431 0.6862
La: 0.2668 0.5915 0.7334
La: 0.2668 0.1419 0.7334
La: 0.7332 0.8581 0.2666
La: 0.7332 0.4085 0.2666
La: 0.6285 0.3676 0.7352
La: 0.3715 0.6324 0.2648
Nd: 0.5000 0.0000 0.0000
Sc: 0.0000 0.5000 0.0000